[1]
Below is Li2CuPt after structural relaxation, with properties calculated at the PBE level.

POSCAR file:
```
Li2CuPt
1.0
6.721 0.000 0.000
0.000 6.721 0.000
3.360 3.360 2.509
Cu Pt Li
2 2 4
Cartesian
3.360 3.360 0.000
3.360 6.721 1.255
0.000 0.000 0.000
6.721 3.360 1.255
4.982 1.680 0.627
1.739 5.040 0.627
5.040 5.099 1.882
8.401 8.342 1.882
```

## Properties
Fermi-level density of states: 2.42 states/eV per cell
symmetry: I-42d
size of the total moment: 0.0000 μB per atom
energy above the most stable polymorph in this dataset: 0.2684 eV per atom

---

[2]
Below is Er2InGa9 after structural relaxation, with properties calculated at the PBE level.

POSCAR file:
```
Er2InGa9
1.0
4.257 0.000 0.000
0.000 4.257 0.000
0.000 0.000 13.158
Er In Ga
2 1 9
Cartesian
0.000 0.000 4.482
0.000 0.000 8.676
0.000 0.000 0.000
2.128 2.128 0.000
2.128 2.128 4.438
2.128 2.128 8.720
2.128 0.000 2.262
2.128 0.000 6.579
2.128 0.000 10.896
0.000 2.128 2.262
0.000 2.128 6.579
0.000 2.128 10.896
```

## Properties
Fermi-level density of states: 4.98 states/eV per cell
symmetry: P4/mmm
final energy: -42.67 eV per cell
size of the total moment: 0.0000 μB per atom

---

[3]
Below is HgSbI2Br after structural relaxation, with properties calculated at the PBE level.

POSCAR file:
```
HgSbI2Br
1.0
-5.905 1.110 0.599
-0.630 -5.079 3.203
1.020 2.866 4.745
I Sb Hg Br
2 1 1 1
Cartesian
-0.315 -2.539 1.602
-2.952 0.555 0.299
0.000 0.000 0.000
-2.757 -0.551 4.273
0.510 1.433 2.372
```

## Properties
Fermi-level density of states: 2.75 states/eV per cell
symmetry: P4/mmm
size of the total moment: 0.0000 μB per atom
ΔE_f (raw): -95.9 kJ/mol of formula units
energy above the most stable polymorph in this dataset: 0.0000 eV per atom